Zr2CoNi: optimized geometry, PBE.

distance to the lowest polymorph of the same formula	21.1	kJ/mol of atoms
energy relative to the elements	-0.183	eV per atom
E	-30.72	eV per cell

Unit cell a=5.713 b=5.713 c=5.713 alpha=147.37 beta=138.32 gamma=53.92
Fractional positions:
Co1 0.472 0.472 0.000
Ni1 0.284 0.784 0.500
Zr1 0.008 0.008 0.000
Zr2 0.735 0.235 0.500